First-principles (PBE-GGA) data for NaV2HgCl8 after structural relaxation, as listed in Alexandria via LeMat-Bulk.

- SG: No. 148
- Uncorrected formation energy: -1.1444 eV/atom

Cell: 11.169 11.169 11.169 Å, 35.18 35.18 35.18°
Positions (direct):
Na  0.000  0.000  0.000
V  0.256  0.256  0.256
V  0.744  0.744  0.744
Hg  0.500  0.500  0.500
Cl  0.028  0.414  0.719
Cl  0.187  0.187  0.187
Cl  0.281  0.972  0.586
Cl  0.414  0.719  0.028
Cl  0.586  0.281  0.972
Cl  0.719  0.028  0.414
Cl  0.813  0.813  0.813
Cl  0.972  0.586  0.281